DFT (GGA-PBE) results for an optimized crystal structure of Tl2ZnGa2.

Output
**Energy relative to the lowest polymorph listed for this composition**: 0.1321 eV per atom
**ΔE_f**: 0.22 eV per atom
**Density of states at the Fermi level**: 4.47 states/eV/cell
**Volume**: 25.55 Å³ per atom
**Space-group type**: P4/mbm, No. 127
**Calculated total energy**: -2.19 eV/atom

extended XYZ file:
```
10
Lattice="8.188 0.000 0.000 0.000 8.188 0.000 0.000 0.000 3.811" Properties=species:S:1:pos:R:3 pbc="T T T"
Tl 5.593 1.499 0.000
Tl 1.499 2.596 0.000
Tl 6.690 5.593 0.000
Tl 2.596 6.690 0.000
Zn 0.000 0.000 0.000
Zn 4.094 4.094 0.000
Ga 3.129 0.965 1.905
Ga 5.059 7.223 1.905
Ga 7.223 3.129 1.905
Ga 0.965 5.059 1.905
```